# 1
Entry from Alexandria via LeMat-Bulk: an optimized crystal structure of NdTm2Fe (PBE-GGA).

Results
offset from the most stable computed form	0	meV/atom

Cell lengths 3.338, 3.338, 9.017 Å; angles 90.00, 90.00, 90.00 degrees
Space group P4/mmm (No. 123)
One atom of each set of equivalent atoms:
Nd1 0.000 0.000 0.000 [1 per cell]
Tm1 0.500 0.500 0.325 [2 per cell]
Fe1 0.000 0.000 0.500 [1 per cell]

***

# 2
Entry from Alexandria via LeMat-Bulk: an optimized crystal structure of RbZn2N (PBE-GGA).

Results
energy relative to the elements, uncorrected	1.40	eV per formula unit

Cell lengths 9.295, 9.295, 9.295 Å; angles 90.00, 90.00, 90.00 degrees
Space group Fd-3m (No. 227, origin choice 2)
One atom of each set of equivalent atoms:
Rb1 0.125 0.125 0.125 [8 per cell]
Zn1 0.000 0.000 0.500 [16 per cell]
N1 0.125 0.125 0.625 [8 per cell]

***

# 3
Entry from Alexandria via LeMat-Bulk: an optimized crystal structure of LiMnAs (PBE-GGA).

Results
offset from the most stable computed form	88	meV/atom

Cell lengths 6.644, 3.819, 7.233 Å; angles 90.00, 90.00, 90.00 degrees
Space group Pnma (No. 62)
One atom of each set of equivalent atoms:
Li1 0.026 0.250 0.170 [4 per cell]
Mn1 0.129 0.250 0.553 [4 per cell]
As1 0.230 0.750 0.368 [4 per cell]

***

# 4
Entry from Alexandria via LeMat-Bulk: an optimized crystal structure of SbTeIr2 (PBE-GGA).

Results
offset from the most stable computed form	173	meV/atom
energy relative to the elements, uncorrected	0.98	eV per formula unit

Cell lengths 3.877, 3.850, 5.466 Å; angles 90.00, 91.04, 90.00 degrees
Space group P2/m (No. 10)
One atom of each set of equivalent atoms:
Sb1 0.000 0.000 0.000 [1 per cell]
Te1 0.500 0.500 0.500 [1 per cell]
Ir1 0.000 0.000 0.500 [1 per cell]
Ir2 0.500 0.500 0.000 [1 per cell]

***

# 5
Entry from Alexandria via LeMat-Bulk: an optimized crystal structure of La2PtPb (PBE-GGA).

Results
raw total energy	-5.686	eV/atom

Cell lengths 7.208, 4.155, 8.821 Å; angles 90.00, 105.72, 90.00 degrees
Space group C2/m (No. 12)
One atom of each set of equivalent atoms:
La1 0.234 0.000 0.204 [4 per cell]
Pt1 0.000 0.500 0.000 [2 per cell]
Pb1 0.000 0.000 0.500 [2 per cell]

***

# 6
Entry from Alexandria via LeMat-Bulk: an optimized crystal structure of LaTbSm5 (PBE-GGA).

Results
offset from the most stable computed form	0	meV/atom

Cell lengths 11.997, 6.913, 12.439 Å; angles 90.00, 111.37, 90.00 degrees
Space group C2/c (No. 15)
One atom of each set of equivalent atoms:
La1 0.000 0.030 0.250 [4 per cell]
Tb1 0.250 0.250 0.000 [4 per cell]
Sm1 0.000 0.407 0.750 [4 per cell]
Sm2 0.078 0.271 0.500 [8 per cell]
Sm3 0.219 0.375 0.248 [8 per cell]